Entry 1:
Computed, not measured: an optimized crystal structure of Tb2ZnCu16 at the PBE level of DFT.

Computed properties:
N(E_F): 0.4416 states/eV per atom
Theoretical density: 8.73 g cm⁻³
Energy relative to the elements: -136 meV/atom
E: -78.7 eV/cell

Unit cell a=6.4824 b=6.4824 c=6.4824 alpha=82.73 beta=82.73 gamma=82.73
Last column: nearest neighbours and their distance in Å.
Fractional coordinates of all 19 atoms:
Cu (0.7033, 0.0007, 0.2984)  8 Cu 2.46-2.61
Cu (0.0994, 0.0994, 0.0994)  1 Zn 2.48, 6 Cu 2.61-2.67
Cu (0.0007, 0.7033, 0.2984)  8 Cu 2.46-2.61
Cu (0.3460, 0.8465, 0.3460)  9 Cu 2.47-2.67
Cu (0.3460, 0.3460, 0.8465)  9 Cu 2.47-2.67
Cu (0.8465, 0.3460, 0.3460)  9 Cu 2.47-2.67
Cu (0.7033, 0.2984, 0.0007)  8 Cu 2.46-2.61
Cu (0.2984, 0.7033, 0.0007)  8 Cu 2.46-2.61
Cu (0.1561, 0.6529, 0.6529)  8 Cu 2.49-2.61, 1 Zn 2.69
Cu (0.0008, 0.4998, 0.0008)  9 Cu 2.46-2.61, 1 Zn 2.62
Cu (0.0007, 0.2984, 0.7033)  8 Cu 2.46-2.61
Cu (0.6529, 0.6529, 0.1561)  8 Cu 2.49-2.61, 1 Zn 2.69
Cu (0.6529, 0.1561, 0.6529)  8 Cu 2.49-2.61, 1 Zn 2.69
Cu (0.4998, 0.0008, 0.0008)  9 Cu 2.46-2.61, 1 Zn 2.62
Cu (0.0008, 0.0008, 0.4998)  9 Cu 2.46-2.61, 1 Zn 2.62
Cu (0.2984, 0.0007, 0.7033)  8 Cu 2.46-2.61
Tb (0.3405, 0.3405, 0.3405)  19 Cu 3.02-3.29
Tb (0.6522, 0.6522, 0.6522)  18 Cu 3.03-3.37, 1 Zn 3.14
Zn (0.9017, 0.9017, 0.9017)  7 Cu 2.48-2.69

=====

Entry 2:
Computed, not measured: an optimized crystal structure of Tb2ZnCu9 at the PBE level of DFT.

Computed properties:
N(E_F): 0.4424 states/eV per atom
Theoretical density: 8.62 g cm⁻³
Energy relative to the elements: -65 meV/atom
E: -48.2 eV/cell

Unit cell a=5.0846 b=5.0846 c=8.7256 alpha=73.06 beta=73.06 gamma=60.00
Last column: nearest neighbours and their distance in Å.
Fractional coordinates of all 12 atoms:
Cu (0.0793, 0.5823, 0.7560)  7 Cu 2.47-2.57
Cu (0.5000, 0.5000, 0.5000)  6 Cu 2.57
Cu (0.6671, 0.6671, 0.9988)  6 Cu 2.47-2.50
Cu (0.4177, 0.9207, 0.2440)  7 Cu 2.47-2.57
Cu (0.9207, 0.4177, 0.2440)  7 Cu 2.47-2.57
Cu (0.3329, 0.3329, 0.0012)  6 Cu 2.47-2.50
Cu (0.5823, 0.5823, 0.7560)  7 Cu 2.47-2.57
Cu (0.4177, 0.4177, 0.2440)  7 Cu 2.47-2.57
Cu (0.5823, 0.0793, 0.7560)  7 Cu 2.47-2.57
Zn (0.0000, 0.0000, 0.0000)  18 Cu 2.94-3.24
Tb (0.1346, 0.1346, 0.5963)  9 Cu 2.86-3.04
Tb (0.8654, 0.8654, 0.4037)  9 Cu 2.86-3.04

=====

Entry 3:
Computed, not measured: an optimized crystal structure of TbZnCu3 at the PBE level of DFT.

Computed properties:
N(E_F): 0.6840 states/eV per atom
Theoretical density: 7.93 g cm⁻³
Energy relative to the elements: -119 meV/atom
E: -37.6 eV/cell

Unit cell a=4.9499 b=8.5449 c=6.4237 alpha=131.69 beta=112.66 gamma=90.00
Last column: nearest neighbours and their distance in Å.
Fractional coordinates of all 10 atoms:
Cu (0.7500, 0.0718, 0.5000)  6 Cu 2.48-2.76, 2 Zn 2.56
Cu (0.7510, 0.2510, 0.0020)  2 Zn 2.47, 4 Cu 2.47-2.48
Cu (0.7490, 0.7490, 0.9980)  2 Zn 2.47, 4 Cu 2.47-2.48
Cu (0.2510, 0.2510, 0.0020)  2 Zn 2.47, 4 Cu 2.47-2.48
Cu (0.2490, 0.7490, 0.9980)  2 Zn 2.47, 4 Cu 2.47-2.48
Cu (0.2500, 0.9282, 0.5000)  6 Cu 2.48-2.76, 2 Zn 2.56
Tb (0.7500, 0.7185, 0.5000)  7 Cu 3.02-3.06, 4 Zn 3.23
Tb (0.2500, 0.2815, 0.5000)  7 Cu 3.02-3.06, 4 Zn 3.23
Zn (0.5000, 0.0000, 0.0000)  6 Cu 2.47-2.56
Zn (0.0000, 0.5000, 0.0000)  6 Cu 2.47-2.56

=====

Entry 4:
Computed, not measured: an optimized crystal structure of TbZn5Cu2 at the PBE level of DFT.

Computed properties:
N(E_F): 0.3764 states/eV per atom
Theoretical density: 7.70 g cm⁻³
Energy relative to the elements: -206 meV/atom
E: -20.8 eV/cell

Unit cell a=3.8803 b=6.2519 c=6.2519 alpha=70.38 beta=71.92 gamma=71.92
Last column: nearest neighbours and their distance in Å.
Fractional coordinates of all 8 atoms:
Zn (0.6461, 0.1656, 0.5423)  3 Cu 2.43-2.59, 1 Zn 2.71
Zn (0.3539, 0.4577, 0.8344)  3 Cu 2.43-2.59, 1 Zn 2.71
Zn (0.6461, 0.5423, 0.1656)  3 Cu 2.43-2.59, 1 Zn 2.71
Zn (0.3539, 0.8344, 0.4577)  3 Cu 2.43-2.59, 1 Zn 2.71
Zn (0.0000, 0.5000, 0.5000)  2 Cu 2.43
Tb (0.0000, 0.0000, 0.0000)  4 Cu 3.01, 8 Zn 3.27
Cu (0.2570, 0.2430, 0.2430)  7 Zn 2.43-2.59
Cu (0.7430, 0.7570, 0.7570)  7 Zn 2.43-2.59

=====

Entry 5:
Computed, not measured: an optimized crystal structure of TbZn3Cu2 at the PBE level of DFT.

Computed properties:
N(E_F): 0.5207 states/eV per atom
Theoretical density: 8.03 g cm⁻³
Energy relative to the elements: -233 meV/atom
E: -36.1 eV/cell

Unit cell a=5.1265 b=6.2653 c=6.2653 alpha=97.79 beta=90.00 gamma=90.00
Last column: nearest neighbours and their distance in Å.
Fractional coordinates of all 12 atoms:
Zn (0.7500, 0.0963, 0.4462)  4 Cu 2.45-2.63, 1 Zn 2.53
Zn (0.2500, 0.5538, 0.9037)  4 Cu 2.45-2.63, 1 Zn 2.53
Zn (0.7500, 0.4462, 0.0963)  4 Cu 2.45-2.63, 1 Zn 2.53
Zn (0.2500, 0.9037, 0.5538)  4 Cu 2.45-2.63, 1 Zn 2.53
Zn (0.7500, 0.0381, 0.0381)  4 Zn 2.53-2.64, 4 Cu 2.54
Zn (0.2500, 0.9619, 0.9619)  4 Zn 2.53-2.64, 4 Cu 2.54
Cu (0.5000, 0.7706, 0.2294)  6 Zn 2.45-2.63, 2 Cu 2.56
Cu (0.5000, 0.2294, 0.7706)  6 Zn 2.45-2.63, 2 Cu 2.56
Cu (0.0000, 0.7706, 0.2294)  6 Zn 2.45-2.63, 2 Cu 2.56
Cu (0.0000, 0.2294, 0.7706)  6 Zn 2.45-2.63, 2 Cu 2.56
Tb (0.7500, 0.6587, 0.6587)  7 Zn 3.10-3.21, 4 Cu 3.14
Tb (0.2500, 0.3413, 0.3413)  7 Zn 3.10-3.21, 4 Cu 3.14

=====

Entry 6:
Computed, not measured: an optimized crystal structure of Tb3Zn3Cu at the PBE level of DFT.

Computed properties:
N(E_F): 1.0087 states/eV per atom
Theoretical density: 8.03 g cm⁻³
Energy relative to the elements: -294 meV/atom
E: -23.9 eV/cell

Unit cell a=4.4498 b=3.5854 c=9.9685 alpha=100.36 beta=102.90 gamma=90.00
Last column: nearest neighbours and their distance in Å.
Fractional coordinates of all 7 atoms:
Zn (0.8624, 0.3624, 0.7248)  2 Cu 2.61
Zn (0.1383, 0.6383, 0.2766)  2 Zn 2.64
Zn (0.5643, 0.5643, 0.1287)  1 Cu 2.48, 2 Zn 2.64
Cu (0.4342, 0.4342, 0.8685)  3 Zn 2.48-2.61
Tb (0.3113, 0.8113, 0.6226)  2 Cu 2.95, 5 Zn 3.02-3.30
Tb (0.9962, 0.9962, 0.9923)  4 Cu 3.09, 8 Zn 3.12-3.25
Tb (0.6933, 0.1933, 0.3865)  7 Zn 3.04-3.23

=====

Entry 7:
Computed, not measured: an optimized crystal structure of Tb2Zn16Cu at the PBE level of DFT.

Computed properties:
N(E_F): 0.2868 states/eV per atom
Theoretical density: 7.80 g cm⁻³
Energy relative to the elements: -235 meV/atom
E: -38.2 eV/cell

Unit cell a=6.7756 b=6.7756 c=6.7756 alpha=82.66 beta=82.66 gamma=82.66
Last column: nearest neighbours and their distance in Å.
Fractional coordinates of all 19 atoms:
Zn (0.9995, 0.7059, 0.2932)  8 Zn 2.57-2.76
Zn (0.7059, 0.9995, 0.2932)  8 Zn 2.57-2.76
Zn (0.6486, 0.6486, 0.1583)  8 Zn 2.55-2.74, 1 Cu 2.85
Zn (0.7059, 0.2932, 0.9995)  8 Zn 2.57-2.76
Zn (0.0987, 0.0987, 0.0987)  1 Cu 2.60, 6 Zn 2.78-2.88
Zn (0.1583, 0.6486, 0.6486)  8 Zn 2.55-2.74, 1 Cu 2.85
Zn (0.9970, 0.9970, 0.5056)  9 Zn 2.57-2.78, 1 Cu 2.69
Zn (0.3539, 0.3539, 0.8380)  8 Zn 2.55-2.76
Zn (0.6486, 0.1583, 0.6486)  8 Zn 2.55-2.74, 1 Cu 2.85
Zn (0.8380, 0.3539, 0.3539)  8 Zn 2.55-2.76
Zn (0.2932, 0.9995, 0.7059)  8 Zn 2.57-2.76
Zn (0.3539, 0.8380, 0.3539)  8 Zn 2.55-2.76
Zn (0.2932, 0.7059, 0.9995)  8 Zn 2.57-2.76
Zn (0.9970, 0.5056, 0.9970)  9 Zn 2.57-2.78, 1 Cu 2.69
Zn (0.5056, 0.9970, 0.9970)  9 Zn 2.57-2.78, 1 Cu 2.69
Zn (0.9995, 0.2932, 0.7059)  8 Zn 2.57-2.76
Tb (0.3356, 0.3356, 0.3356)  19 Zn 3.11-3.44
Tb (0.6667, 0.6667, 0.6667)  1 Cu 3.08, 15 Zn 3.18-3.35
Cu (0.9009, 0.9009, 0.9009)  7 Zn 2.60-2.85

=====

Entry 8:
Computed, not measured: an optimized crystal structure of TbZnCu2 at the PBE level of DFT.

Computed properties:
N(E_F): 0.5044 states/eV per atom
Theoretical density: 8.53 g cm⁻³
Energy relative to the elements: -275 meV/atom
E: -60.8 eV/cell

Unit cell a=4.1564 b=6.9724 c=9.4377 alpha=90.00 beta=90.00 gamma=90.00
Last column: nearest neighbours and their distance in Å.
Fractional coordinates of all 16 atoms:
Cu (0.7500, 0.0721, 0.8782)  3 Cu 2.53-2.58, 2 Zn 2.62-2.71
Cu (0.2500, 0.2359, 0.9702)  3 Cu 2.53-2.58, 3 Zn 2.55-2.65, 1 Tb 2.76
Cu (0.7500, 0.2641, 0.4702)  3 Cu 2.53-2.58, 3 Zn 2.55-2.65, 1 Tb 2.76
Cu (0.2500, 0.9279, 0.1218)  3 Cu 2.53-2.58, 2 Zn 2.62-2.71
Cu (0.7500, 0.7641, 0.0298)  3 Cu 2.53-2.58, 3 Zn 2.55-2.65, 1 Tb 2.76
Cu (0.2500, 0.4279, 0.3782)  3 Cu 2.53-2.58, 2 Zn 2.62-2.71
Cu (0.2500, 0.7359, 0.5298)  3 Cu 2.53-2.58, 3 Zn 2.55-2.65, 1 Tb 2.76
Cu (0.7500, 0.5721, 0.6218)  3 Cu 2.53-2.58, 2 Zn 2.62-2.71
Zn (0.7500, 0.4477, 0.8937)  5 Cu 2.55-2.71
Zn (0.2500, 0.0523, 0.3937)  5 Cu 2.55-2.71
Zn (0.2500, 0.5523, 0.1063)  5 Cu 2.55-2.71
Zn (0.7500, 0.9477, 0.6063)  5 Cu 2.55-2.71
Tb (0.2500, 0.2760, 0.6795)  6 Cu 2.76-3.03
Tb (0.2500, 0.7760, 0.8205)  6 Cu 2.76-3.03
Tb (0.7500, 0.7240, 0.3205)  6 Cu 2.76-3.03
Tb (0.7500, 0.2240, 0.1795)  6 Cu 2.76-3.03